First-principles (PBE-GGA) data for a relaxed structure of Tm8Ga3Co, as listed in Alexandria.

a b c (Å): 9.871 9.871 6.836
angles (deg): 90.00 90.00 120.00
Fractional coordinates of all 24 atoms:
Ga (0.163, 0.327, 0.540)
Ga (0.837, 0.673, 0.040)
Ga (0.837, 0.163, 0.040)
Ga (0.327, 0.163, 0.040)
Ga (0.673, 0.837, 0.540)
Ga (0.163, 0.837, 0.540)
Tm (0.667, 0.333, 0.172)
Tm (0.173, 0.827, 0.990)
Tm (0.928, 0.464, 0.793)
Tm (0.464, 0.928, 0.293)
Tm (0.827, 0.173, 0.490)
Tm (0.173, 0.347, 0.990)
Tm (0.347, 0.173, 0.490)
Tm (0.333, 0.667, 0.672)
Tm (0.464, 0.536, 0.293)
Tm (0.000, 0.000, 0.767)
Tm (0.072, 0.536, 0.293)
Tm (0.000, 0.000, 0.267)
Tm (0.536, 0.072, 0.793)
Tm (0.653, 0.827, 0.990)
Tm (0.827, 0.653, 0.490)
Tm (0.536, 0.464, 0.793)
Co (0.667, 0.333, 0.558)
Co (0.333, 0.667, 0.058)

Values from the calculation:
The space-group type is P6_3mc, No. 186. The calculation puts the magnetic moment at 0.00 Bohr magnetons per cell. The calculation puts the formation energy at -0.426 eV/atom. Its total DFT energy (no corrections) is -4.756 eV per atom. The calculation puts the density of states at the Fermi level at 6.5 states/eV/cell.